No. 1
VASP calculation (PBE) on a relaxed structure of YAlW.

Cell lengths 5.667, 5.667, 5.667 Å; angles 147.91, 140.82, 51.51 degrees
Fractional coordinates of all 3 atoms:
Y 0.672 0.672 0.000
Al 0.969 0.969 0.000
W 0.359 0.359 0.000

- energy relative to the lowest polymorph listed for this composition (eV per atom) = 0.0000
- ΔE_f (eV per atom) = 0.18
- space group = Imm2 (44)
- calculated volume (Å³/cell) = 60.8
- spin magnetization (μB per cell) = 0.00
- DOS(E_F) (states/eV/cell) = 2.40
- ρ (Mg/m³) = 8.19

No. 2
VASP calculation (PBE) on a relaxed structure of TaCuNF2.

Cell lengths 4.102, 4.102, 4.029 Å; angles 90.00, 90.00, 90.00 degrees
Fractional coordinates of all 5 atoms:
N 0.000 0.000 0.500
F 0.000 0.500 0.000
F 0.500 0.000 0.000
Cu 0.500 0.500 0.500
Ta 0.000 0.000 0.000

- energy relative to the lowest polymorph listed for this composition (eV per atom) = 0.0000
- space group = P4/mmm (123)
- calculated volume (Å³/cell) = 67.8
- spin magnetization (μB per cell) = 0.00
- DOS(E_F) (states/eV/cell) = 2.03
- ρ (Mg/m³) = 7.26
- formation energy without anion corrections (eV/atom) = -0.998

No. 3
VASP calculation (PBE) on a relaxed structure of Na2B2S.

Cell lengths 2.846, 2.846, 8.949 Å; angles 80.85, 80.85, 90.00 degrees
Fractional coordinates of all 5 atoms:
Na 0.388 0.388 0.224
Na 0.612 0.612 0.776
S 0.000 0.000 0.000
B 0.750 0.250 0.500
B 0.250 0.750 0.500

- energy relative to the lowest polymorph listed for this composition (eV per atom) = 0.0000
- space group = I4/mmm (139)
- calculated volume (Å³/cell) = 70.6
- spin magnetization (μB per cell) = 0.00
- DOS(E_F) (states/eV/cell) = 1.15
- ρ (Mg/m³) = 2.34
- formation energy without anion corrections (eV/atom) = 0.467

No. 4
VASP calculation (PBE) on a relaxed structure of SiAsRh2.

Cell lengths 4.322, 4.322, 4.322 Å; angles 60.00, 60.00, 60.00 degrees
Fractional coordinates of all 4 atoms:
As 0.500 0.500 0.500
Rh 0.250 0.250 0.250
Rh 0.750 0.750 0.750
Si 0.000 0.000 0.000

- space group = Fm-3m (225)
- calculated volume (Å³/cell) = 57.1
- spin magnetization (μB per cell) = 0.00
- DOS(E_F) (states/eV/cell) = 4.12
- ρ (Mg/m³) = 8.98
- formation energy without anion corrections (eV/atom) = -0.263

No. 5
VASP calculation (PBE) on a relaxed structure of K2ZrSe.

Cell lengths 3.856, 3.693, 11.188 Å; angles 79.67, 90.00, 90.00 degrees
Fractional coordinates of all 4 atoms:
K 0.000 0.942 0.959
K 0.500 0.279 0.344
Se 0.000 0.683 0.519
Zr 0.500 0.596 0.678

- space group = Pm (6)
- calculated volume (Å³/cell) = 156.7
- spin magnetization (μB per cell) = 0.39
- DOS(E_F) (states/eV/cell) = 4.01
- ρ (Mg/m³) = 2.63
- formation energy without anion corrections (eV/atom) = -0.163